Record 1
! Mg2TaMn, optimized geometry, DFT GGA-PBE; values from VASP
&SYSTEM
  ibrav = 0, nat = 4, ntyp = 3
/
ATOMIC_SPECIES
Mg 24.30 Mg.upf
Ta 180.95 Ta.upf
Mn 54.94 Mn.upf
ATOMIC_POSITIONS crystal
Mg 0.978 0.978 0.022
Mg 0.522 0.522 0.478
Ta 0.750 0.750 0.750
Mn 0.250 0.250 0.250
CELL_PARAMETERS angstrom
-3.550 3.122 -2.963
-5.260 0.886 -1.636
-2.101 3.043 2.419
! Density of states at the Fermi level in states/eV per cell: 2.80
! Space group: C2/m
! Energy relative to the elements in eV per atom: 0.316
! Total magnetization in Bohr magnetons per cell: 0.9
! Total energy in eV per cell: -22.95
! Polymorph energy (0 for the lowest one) in meV/atom: 180

---

Record 2
! Mg2TaMn, optimized geometry, DFT GGA-PBE; values from VASP
&SYSTEM
  ibrav = 0, nat = 4, ntyp = 3
/
ATOMIC_SPECIES
Mg 24.30 Mg.upf
Mn 54.94 Mn.upf
Ta 180.95 Ta.upf
ATOMIC_POSITIONS crystal
Mg 0.500 0.500 0.276
Mg 0.000 0.000 0.989
Mn 0.000 0.000 0.510
Ta 0.500 0.500 0.725
CELL_PARAMETERS angstrom
2.881 0.000 0.000
0.000 2.881 0.000
0.000 0.000 8.872
! Density of states at the Fermi level in states/eV per cell: 2.88
! Space group: P4mm
! Energy relative to the elements in eV per atom: 0.213
! Total magnetization in Bohr magnetons per cell: 3.4
! Total energy in eV per cell: -23.36
! Polymorph energy (0 for the lowest one) in meV/atom: 77

---

Record 3
! MgTa3Mn, optimized geometry, DFT GGA-PBE; values from VASP
&SYSTEM
  ibrav = 0, nat = 5, ntyp = 3
/
ATOMIC_SPECIES
Mg 24.30 Mg.upf
Ta 180.95 Ta.upf
Mn 54.94 Mn.upf
ATOMIC_POSITIONS crystal
Mg 0.500 0.500 0.500
Ta 0.000 0.500 0.000
Ta 0.500 0.000 0.000
Ta 0.000 0.000 0.500
Mn 0.000 0.000 0.000
CELL_PARAMETERS angstrom
-1.401 3.104 3.143
-3.205 -2.984 1.518
3.040 -1.715 3.049
! Density of states at the Fermi level in states/eV per cell: 4.12
! Space group: Pm-3m
! Energy relative to the elements in eV per atom: 0.733
! Total magnetization in Bohr magnetons per cell: 0.0
! Total energy in eV per cell: -42.66
! Polymorph energy (0 for the lowest one) in meV/atom: 0